BaVZn3 | GGA-PBE | relaxed

The space group is Pm-3m (No. 221) and the conventional cell measures 5.0663, 5.0663 and 5.0663 Å, with angles of 90.00, 90.00 and 90.00 degrees. Symmetry generates all atoms from Ba at (0.0000, 0.0000, 0.0000), V at (0.5000, 0.5000, 0.5000) and Zn at (0.0000, 0.5000, 0.5000).

Its mass density is 4.91 g cm⁻³. The total energy comes out at -2.764 eV per atom.



BaVZn2 | GGA-PBE | relaxed

The space group is Fm-3m (No. 225) and the conventional cell measures 7.3213, 7.3213 and 7.3213 Å, with angles of 90.00, 90.00 and 90.00 degrees. Symmetry generates all atoms from Ba at (0.0000, 0.0000, 0.0000), V at (0.0000, 0.0000, 0.5000) and Zn at (0.2500, 0.2500, 0.2500).

As for the polymorph energy (0 for the lowest one): 38 meV per atom. Its mass density is 5.40 g cm⁻³. The total energy comes out at -2.972 eV per atom.



Q: mass density of number 2 (BaVZn2)?
A: 5.40 g cm⁻³



Q: Number 1 is which compound?
A: BaVZn3



Q: Which value of mass density does entry 1 give?
A: 4.91 g cm⁻³



Q: The highest mass density belongs to which entry?
A: BaVZn2